# Pm2Si4AsPt3

Pm2Si4AsPt3 after structural relaxation (GGA-PBE, Alexandria via LeMat-Bulk).

a b c (Å): 4.3142 4.3142 9.7884
angles (deg): 90.00 90.00 90.00
Element x y z (fractional)
Pm 0.5000 0.0000 0.2426
Pm 0.0000 0.5000 0.7574
Si 0.5000 0.5000 0.0000
Si 0.0000 0.0000 0.0000
Si 0.5000 0.0000 0.6387
Si 0.0000 0.5000 0.3613
As 0.5000 0.5000 0.5000
Pt 0.0000 0.0000 0.5000
Pt 0.5000 0.0000 0.8804
Pt 0.0000 0.5000 0.1196

Properties
Formation energy without anion corrections = -0.9178 eV per atom
Total magnetic moment = 0.00 μB per formula unit